Computed, not measured: crystalline DyBePt at its relaxed geometry at the PBE-GGA level of DFT.

Computed properties:
Calculated density   11.7 Mg/m³
Raw total energy   -0.2076 Ha/atom
Energy above the most stable polymorph in this dataset   6 meV/atom

abc: 4.187 7.423 6.717
angles: 90.00 90.00 90.00
Positions (direct):
Dy1 0.250 0.805 0.499
Dy2 0.750 0.305 0.001
Dy3 0.250 0.695 0.999
Dy4 0.750 0.195 0.501
Be1 0.750 0.583 0.323
Be2 0.750 0.917 0.823
Be3 0.250 0.083 0.177
Be4 0.250 0.417 0.677
Pt1 0.750 0.920 0.191
Pt2 0.750 0.580 0.691
Pt3 0.250 0.080 0.809
Pt4 0.250 0.420 0.309

Computed, not measured: crystalline LaDy8Th6 at its relaxed geometry at the PBE-GGA level of DFT.

Computed properties:
Calculated density   9.7 Mg/m³
Raw total energy   -0.2055 Ha/atom

abc: 8.858 8.858 8.764
angles: 59.64 59.64 60.00
Positions (direct):
La1 0.000 0.000 0.000
Dy1 0.878 0.330 0.598
Dy2 0.806 0.122 0.402
Dy3 0.670 0.806 0.402
Dy4 0.420 0.420 0.740
Dy5 0.580 0.580 0.260
Dy6 0.330 0.194 0.598
Dy7 0.194 0.878 0.598
Dy8 0.122 0.670 0.402
Th1 0.071 0.536 0.125
Th2 0.731 0.929 0.875
Th3 0.464 0.731 0.875
Th4 0.536 0.269 0.125
Th5 0.269 0.071 0.125
Th6 0.929 0.464 0.875

Computed, not measured: crystalline LiRe2Ir2 at its relaxed geometry at the PBE-GGA level of DFT.

Computed properties:
Calculated density   15.7 Mg/m³
Raw total energy   -0.3272 Ha/atom
Energy above the most stable polymorph in this dataset   0 meV/atom

abc: 7.724 7.724 2.702
angles: 90.00 90.00 90.00
Positions (direct):
Re1 0.379 0.879 0.000
Re2 0.879 0.621 0.000
Re3 0.621 0.121 0.000
Re4 0.121 0.379 0.000
Ir1 0.170 0.670 0.500
Ir2 0.670 0.830 0.500
Ir3 0.830 0.330 0.500
Ir4 0.330 0.170 0.500
Li1 0.000 0.000 0.000
Li2 0.500 0.500 0.000

Computed, not measured: crystalline In2BHBr at its relaxed geometry at the PBE-GGA level of DFT.

Computed properties:
Calculated density   5.0 Mg/m³
Raw total energy   -0.0908 Ha/atom

abc: 4.420 5.422 4.420
angles: 90.00 90.00 90.00
Positions (direct):
H1 0.000 0.000 0.000
B1 0.500 0.500 0.500
Br1 0.000 0.500 0.000
In1 0.000 0.000 0.500
In2 0.500 0.000 0.000

Computed, not measured: crystalline SiTe2Ir at its relaxed geometry at the PBE-GGA level of DFT.

Computed properties:
Energy relative to the elements, uncorrected   0.719 eV/atom
Calculated density   9.6 Mg/m³
Raw total energy   -0.1625 Ha/atom

abc: 3.265 5.295 4.747
angles: 90.00 90.00 90.00
Positions (direct):
Ir1 0.500 0.000 0.500
Si1 0.000 0.500 0.500
Te1 0.000 0.000 0.000
Te2 0.500 0.500 0.000

Computed, not measured: crystalline SiTe3Se at its relaxed geometry at the PBE-GGA level of DFT.

Computed properties:
Energy relative to the elements, uncorrected   0.623 eV/atom
Calculated density   5.7 Mg/m³
Raw total energy   -0.1119 Ha/atom
Energy above the most stable polymorph in this dataset   0 meV/atom

abc: 5.235 5.235 5.235
angles: 90.00 90.00 90.00
Positions (direct):
Si1 0.000 0.000 0.000
Te1 0.000 0.500 0.000
Te2 0.000 0.000 0.500
Te3 0.500 0.000 0.000
Se1 0.500 0.500 0.500